1.
Density functional theory data (PBE-GGA) for a relaxed structure of Ca2RhSe.

Geometry as extended XYZ:
```
8
Lattice="4.251 0.000 0.000 0.000 4.051 0.000 0.000 0.000 10.778" Properties=species:S:1:pos:R:3 pbc="T T T"
Ca 0.000 0.000 0.000
Ca 0.000 2.025 5.389
Ca 2.125 0.000 3.004
Ca 2.125 2.025 8.393
Rh 2.125 0.000 6.087
Rh 2.125 2.025 0.698
Se 0.000 0.000 7.690
Se 0.000 2.025 2.301
```

Properties
The calculation puts the formation energy (no corrections) at -352 kJ/mol of formula units.


2.
Density functional theory data (PBE-GGA) for a relaxed structure of Ho2UF11.

Geometry as extended XYZ:
```
28
Lattice="-4.018 5.136 5.547 4.018 -5.136 5.547 4.018 5.136 -5.547" Properties=species:S:1:pos:R:3 pbc="T T T"
Ho 1.076 1.873 0.000
Ho 5.094 3.263 0.000
Ho -1.076 1.873 5.547
Ho 2.942 3.263 5.547
U 4.018 0.000 2.773
U 0.000 5.136 2.773
F 0.000 0.000 0.000
F 4.811 1.815 -1.702
F 5.658 -0.631 1.492
F 4.811 -1.815 3.845
F 2.377 0.631 1.492
F 2.991 -2.813 5.547
F 2.991 2.813 0.000
F 2.377 -0.631 4.055
F 4.811 1.815 1.702
F 1.641 5.766 -1.492
F 0.793 3.321 1.702
F 0.000 0.000 5.547
F 3.224 1.815 3.845
F 2.377 -0.631 7.039
F -0.793 3.321 3.845
F 1.641 5.766 1.492
F 1.027 2.323 5.547
F 1.027 7.949 0.000
F 1.641 4.505 4.055
F -0.793 6.951 1.702
F -1.641 5.766 4.055
F -0.793 3.321 7.249
```

Properties
The calculation puts the formation energy (no corrections) at -5176 kJ/mol of formula units.


3.
Density functional theory data (PBE-GGA) for a relaxed structure of Y7Tl2Ru2.

Geometry as extended XYZ:
```
11
Lattice="4.048 -5.496 0.000 4.048 5.496 0.000 0.000 0.000 7.153" Properties=species:S:1:pos:R:3 pbc="T T T"
Y 0.000 0.000 0.000
Y 2.024 2.748 1.775
Y 2.024 2.748 5.378
Y 2.024 -2.748 1.775
Y 2.024 -2.748 5.378
Y 4.048 0.000 1.715
Y 4.048 0.000 5.438
Tl 1.478 0.000 3.576
Tl 6.617 0.000 3.576
Ru 4.048 2.274 0.000
Ru 4.048 -2.274 0.000
```

Properties
The formation energy comes out at -0.2182 eV/atom.


4.
Density functional theory data (PBE-GGA) for a relaxed structure of SnBiTeAs2.

Geometry as extended XYZ:
```
5
Lattice="5.350 0.000 0.000 0.000 5.350 0.000 0.000 0.000 5.747" Properties=species:S:1:pos:R:3 pbc="T T T"
Sn 0.000 0.000 0.000
Bi 2.675 2.675 0.000
Te 0.000 0.000 2.874
As 0.000 2.675 2.874
As 2.675 0.000 2.874
```

Properties
The calculation puts the formation energy (no corrections) at 377 kJ/mol of formula units.


5.
Density functional theory data (PBE-GGA) for a relaxed structure of LuZrFePt.

Geometry as extended XYZ:
```
16
Lattice="6.646 0.000 0.000 0.000 6.646 0.000 0.000 0.000 6.646" Properties=species:S:1:pos:R:3 pbc="T T T"
Lu 0.000 0.000 0.000
Lu 0.000 3.323 3.323
Lu 3.323 0.000 3.323
Lu 3.323 3.323 0.000
Zr 0.000 0.000 3.323
Zr 0.000 3.323 0.000
Zr 3.323 0.000 0.000
Zr 3.323 3.323 3.323
Fe 1.661 1.661 1.661
Fe 1.661 4.984 4.984
Fe 4.984 1.661 4.984
Fe 4.984 4.984 1.661
Pt 1.661 1.661 4.984
Pt 1.661 4.984 1.661
Pt 4.984 1.661 1.661
Pt 4.984 4.984 4.984
```

Properties
The formation energy comes out at -0.5757 eV/atom.


6.
Density functional theory data (PBE-GGA) for a relaxed structure of GdTmZnCr.

Geometry as extended XYZ:
```
16
Lattice="7.115 0.000 0.000 0.000 7.115 0.000 0.000 0.000 7.115" Properties=species:S:1:pos:R:3 pbc="T T T"
Gd 0.000 0.000 0.000
Gd 0.000 3.557 3.557
Gd 3.557 0.000 3.557
Gd 3.557 3.557 0.000
Tm 0.000 0.000 3.557
Tm 0.000 3.557 0.000
Tm 3.557 0.000 0.000
Tm 3.557 3.557 3.557
Zn 1.779 1.779 1.779
Zn 1.779 5.336 5.336
Zn 5.336 1.779 5.336
Zn 5.336 5.336 1.779
Cr 1.779 1.779 5.336
Cr 1.779 5.336 1.779
Cr 5.336 1.779 1.779
Cr 5.336 5.336 5.336
```

Properties
The formation energy comes out at 0.0013 eV/atom.


no.,spin magnetization (μB per cell)
1,0.00
2,2.00
3,0.00
4,0.00
5,4.04
6,14.41